(1)
# PBE-GGA Ce4SN3, relaxed
data_Ce4SN3
_symmetry_space_group_name_H-M 'P m -3 m'
_symmetry_Int_Tables_number 221
_symmetry_space_group_name_Hall '-P 4 2 3'
_cell_length_a 5.230
_cell_length_b 5.230
_cell_length_c 5.230
_cell_angle_alpha 90.00
_cell_angle_beta 90.00
_cell_angle_gamma 90.00
loop_
_atom_site_label
_atom_site_type_symbol
_atom_site_fract_x
_atom_site_fract_y
_atom_site_fract_z
Ce1 Ce 0.000 0.000 0.000
Ce2 Ce 0.000 0.500 0.500
S1 S 0.500 0.500 0.500
N1 N 0.000 0.000 0.500
# Fermi-level density of states in states/eV/cell: 11.1
# Crystal system: cubic
# Energy relative to the elements, uncorrected in eV per formula unit: -11.63

(2)
# PBE-GGA Ce3S3N, relaxed
data_Ce3S3N
_symmetry_space_group_name_H-M 'P n m a'
_symmetry_Int_Tables_number 62
_symmetry_space_group_name_Hall '-P 2ac 2n'
_cell_length_a 11.877
_cell_length_b 4.002
_cell_length_c 12.819
_cell_angle_alpha 90.00
_cell_angle_beta 90.00
_cell_angle_gamma 90.00
loop_
_atom_site_label
_atom_site_type_symbol
_atom_site_fract_x
_atom_site_fract_y
_atom_site_fract_z
Ce1 Ce 0.035 0.250 0.152
Ce2 Ce 0.095 0.250 0.622
Ce3 Ce 0.235 0.250 0.870
S1 S 0.074 0.250 0.391
S2 S 0.144 0.750 0.005
S3 S 0.233 0.750 0.708
N1 N 0.053 0.250 0.799
# Fermi-level density of states in states/eV/cell: 58.8
# Crystal system: orthorhombic
# Energy relative to the elements, uncorrected in eV per formula unit: -13.43

(3)
# PBE-GGA Ce3S3N, relaxed
data_Ce3S3N
_symmetry_space_group_name_H-M 'P 1 21/c 1'
_symmetry_Int_Tables_number 14
_symmetry_space_group_name_Hall '-P 2ybc'
_cell_length_a 7.149
_cell_length_b 12.450
_cell_length_c 8.410
_cell_angle_alpha 90.00
_cell_angle_beta 125.50
_cell_angle_gamma 90.00
loop_
_atom_site_label
_atom_site_type_symbol
_atom_site_fract_x
_atom_site_fract_y
_atom_site_fract_z
Ce1 Ce 0.210 0.075 0.206
Ce2 Ce 0.210 0.083 0.756
Ce3 Ce 0.248 0.726 0.748
S1 S 0.255 0.220 0.500
S2 S 0.290 0.586 0.060
S3 S 0.312 0.605 0.496
N1 N 0.009 0.580 0.630
# Fermi-level density of states in states/eV/cell: 61.4
# Crystal system: monoclinic
# Energy relative to the elements, uncorrected in eV per formula unit: -13.09

(4)
# PBE-GGA Ce3S3N, relaxed
data_Ce3S3N
_symmetry_space_group_name_H-M 'C 1 2/m 1'
_symmetry_Int_Tables_number 12
_symmetry_space_group_name_Hall '-C 2y'
_cell_length_a 7.877
_cell_length_b 11.935
_cell_length_c 6.973
_cell_angle_alpha 90.00
_cell_angle_beta 99.26
_cell_angle_gamma 90.00
loop_
_atom_site_label
_atom_site_type_symbol
_atom_site_fract_x
_atom_site_fract_y
_atom_site_fract_z
Ce1 Ce 0.103 0.000 0.303
Ce2 Ce 0.189 0.347 0.221
S1 S 0.000 0.165 0.000
S2 S 0.000 0.237 0.500
S3 S 0.102 0.500 0.845
N1 N 0.184 0.000 0.641
# Fermi-level density of states in states/eV/cell: 64.1
# Crystal system: monoclinic
# Energy relative to the elements, uncorrected in eV per formula unit: -12.63

(5)
# PBE-GGA Ce5S5N2, relaxed
data_Ce5S5N2
_symmetry_space_group_name_H-M 'C 1 2/m 1'
_symmetry_Int_Tables_number 12
_symmetry_space_group_name_Hall '-C 2y'
_cell_length_a 12.887
_cell_length_b 3.869
_cell_length_c 10.795
_cell_angle_alpha 90.00
_cell_angle_beta 106.94
_cell_angle_gamma 90.00
loop_
_atom_site_label
_atom_site_type_symbol
_atom_site_fract_x
_atom_site_fract_y
_atom_site_fract_z
Ce1 Ce 0.000 0.000 0.000
Ce2 Ce 0.101 0.000 0.384
Ce3 Ce 0.157 0.500 0.794
S1 S 0.000 0.500 0.500
S2 S 0.162 0.500 0.060
S3 S 0.247 0.000 0.640
N1 N 0.042 0.000 0.795
# Fermi-level density of states in states/eV/cell: 48.2
# Crystal system: monoclinic
# Energy relative to the elements, uncorrected in eV per formula unit: -22.21

(6)
# PBE-GGA Ce4SN3, relaxed
data_Ce4SN3
_symmetry_space_group_name_H-M 'P -3 m 1'
_symmetry_Int_Tables_number 164
_symmetry_space_group_name_Hall '-P 3 2"'
_cell_length_a 3.5694
_cell_length_b 3.5694
_cell_length_c 12.8179
_cell_angle_alpha 90.00
_cell_angle_beta 90.00
_cell_angle_gamma 120.00
loop_
_atom_site_label
_atom_site_type_symbol
_atom_site_fract_x
_atom_site_fract_y
_atom_site_fract_z
Ce1 Ce 0.3333 0.6667 0.3459
Ce2 Ce 0.3333 0.6667 0.8842
S1 S 0.0000 0.0000 0.5000
N1 N 0.0000 0.0000 0.0000
N2 N 0.0000 0.0000 0.2402
# Fermi-level density of states in states/eV/cell: 11.4
# Crystal system: trigonal
# Energy relative to the elements, uncorrected in eV per formula unit: -12.13

(7)
# PBE-GGA CeSN, relaxed
data_CeSN
_symmetry_space_group_name_H-M 'P 1 21/c 1'
_symmetry_Int_Tables_number 14
_symmetry_space_group_name_Hall '-P 2ybc'
_cell_length_a 8.901
_cell_length_b 3.950
_cell_length_c 8.165
_cell_angle_alpha 90.00
_cell_angle_beta 103.05
_cell_angle_gamma 90.00
loop_
_atom_site_label
_atom_site_type_symbol
_atom_site_fract_x
_atom_site_fract_y
_atom_site_fract_z
Ce1 Ce 0.174 0.248 0.417
S1 S 0.161 0.750 0.164
N1 N 0.437 0.050 0.484
# Fermi-level density of states in states/eV/cell: 19.7
# Crystal system: monoclinic
# Energy relative to the elements, uncorrected in eV per formula unit: -3.82

(8)
# PBE-GGA CeSN, relaxed
data_CeSN
_symmetry_space_group_name_H-M 'I 4 m m'
_symmetry_Int_Tables_number 107
_symmetry_space_group_name_Hall 'I 4 -2'
_cell_length_a 3.549
_cell_length_b 3.549
_cell_length_c 8.928
_cell_angle_alpha 90.00
_cell_angle_beta 90.00
_cell_angle_gamma 90.00
loop_
_atom_site_label
_atom_site_type_symbol
_atom_site_fract_x
_atom_site_fract_y
_atom_site_fract_z
Ce1 Ce 0.000 0.000 0.000
S1 S 0.000 0.000 0.341
N1 N 0.000 0.000 0.538
# Fermi-level density of states in states/eV/cell: 8.0
# Crystal system: tetragonal
# Energy relative to the elements, uncorrected in eV per formula unit: -3.01

(9)
# PBE-GGA Ce5S5N, relaxed
data_Ce5S5N
_symmetry_space_group_name_H-M 'C 1 2/m 1'
_symmetry_Int_Tables_number 12
_symmetry_space_group_name_Hall '-C 2y'
_cell_length_a 12.541
_cell_length_b 5.591
_cell_length_c 7.844
_cell_angle_alpha 90.00
_cell_angle_beta 108.63
_cell_angle_gamma 90.00
loop_
_atom_site_label
_atom_site_type_symbol
_atom_site_fract_x
_atom_site_fract_y
_atom_site_fract_z
Ce1 Ce 0.000 0.000 0.000
Ce2 Ce 0.150 0.500 0.842
Ce3 Ce 0.156 0.500 0.315
S1 S 0.000 0.500 0.500
S2 S 0.165 0.000 0.831
S3 S 0.177 0.000 0.332
N1 N 0.000 0.500 0.000
# Fermi-level density of states in states/eV/cell: 47.3
# Crystal system: monoclinic
# Energy relative to the elements, uncorrected in eV per formula unit: -20.14

(10)
# PBE-GGA Ce2SN, relaxed
data_Ce2SN
_symmetry_space_group_name_H-M 'R 3 m'
_symmetry_Int_Tables_number 160
_symmetry_space_group_name_Hall 'R 3 -2"'
_cell_length_a 3.6557
_cell_length_b 3.6557
_cell_length_c 20.1894
_cell_angle_alpha 90.00
_cell_angle_beta 90.00
_cell_angle_gamma 120.00
loop_
_atom_site_label
_atom_site_type_symbol
_atom_site_fract_x
_atom_site_fract_y
_atom_site_fract_z
Ce1 Ce 0.0000 0.0000 0.0000
Ce2 Ce 0.0000 0.0000 0.1517
S1 S 0.0000 0.0000 0.5758
N1 N 0.0000 0.0000 0.4045
# Fermi-level density of states in states/eV/cell: 24.0
# Crystal system: trigonal
# Energy relative to the elements, uncorrected in eV per formula unit: -5.85

(11)
# PBE-GGA CeSbS2N, relaxed
data_CeSbS2N
_symmetry_space_group_name_H-M 'P 4/n m m'
_symmetry_Int_Tables_number 129
_cell_length_a 3.921
_cell_length_b 3.921
_cell_length_c 13.965
_cell_angle_alpha 90.00
_cell_angle_beta 90.00
_cell_angle_gamma 90.00
loop_
_symmetry_equiv_pos_as_xyz
'x,y,z'
'-x,-y,-z'
'-y+1/2,x,z'
'y+1/2,-x,-z'
'-x+1/2,-y+1/2,z'
'x+1/2,y+1/2,-z'
'y,-x+1/2,z'
'-y,x+1/2,-z'
'x+1/2,-y,-z'
'-x+1/2,y,z'
'-y,-x,-z'
'y,x,z'
'-x,y+1/2,-z'
'x,-y+1/2,z'
'y+1/2,x+1/2,-z'
'-y+1/2,-x+1/2,z'
loop_
_atom_site_label
_atom_site_type_symbol
_atom_site_fract_x
_atom_site_fract_y
_atom_site_fract_z
Ce1 Ce 0.250 0.250 0.084
Sb1 Sb 0.250 0.250 0.636
S1 S 0.250 0.250 0.385
S2 S 0.250 0.250 0.810
N1 N 0.250 0.750 0.000
# Crystal system: tetragonal
# Energy relative to the elements, uncorrected in eV per formula unit: -4.88

(12)
# PBE-GGA Ce4Sb2SN2, relaxed
data_Ce4Sb2SN2
_symmetry_space_group_name_H-M 'C 1 2/m 1'
_symmetry_Int_Tables_number 12
_symmetry_space_group_name_Hall '-C 2y'
_cell_length_a 15.138
_cell_length_b 4.037
_cell_length_c 7.431
_cell_angle_alpha 90.00
_cell_angle_beta 111.14
_cell_angle_gamma 90.00
loop_
_atom_site_label
_atom_site_type_symbol
_atom_site_fract_x
_atom_site_fract_y
_atom_site_fract_z
Ce1 Ce 0.029 0.000 0.260
Ce2 Ce 0.212 0.500 0.660
Sb1 Sb 0.132 0.500 0.038
S1 S 0.000 0.500 0.500
N1 N 0.175 0.000 0.483
# Fermi-level density of states in states/eV/cell: 28.5
# Crystal system: monoclinic
# Energy relative to the elements, uncorrected in eV per formula unit: -12.96

(13)
# PBE-GGA Ce4SbS2N, relaxed
data_Ce4SbS2N
_symmetry_space_group_name_H-M 'C m c m'
_symmetry_Int_Tables_number 63
_symmetry_space_group_name_Hall '-C 2c 2'
_cell_length_a 4.071
_cell_length_b 13.682
_cell_length_c 14.131
_cell_angle_alpha 90.00
_cell_angle_beta 90.00
_cell_angle_gamma 90.00
loop_
_atom_site_label
_atom_site_type_symbol
_atom_site_fract_x
_atom_site_fract_y
_atom_site_fract_z
Ce1 Ce 0.000 0.000 0.000
Ce2 Ce 0.000 0.265 0.121
Ce3 Ce 0.000 0.420 0.750
Sb1 Sb 0.000 0.101 0.750
S1 S 0.000 0.366 0.557
N1 N 0.000 0.169 0.250
# Fermi-level density of states in states/eV/cell: 81.1
# Crystal system: orthorhombic
# Energy relative to the elements, uncorrected in eV per formula unit: -12.65

(14)
# PBE-GGA CeScS2N, relaxed
data_CeScS2N
_symmetry_space_group_name_H-M 'P 4/n m m'
_symmetry_Int_Tables_number 129
_cell_length_a 3.816
_cell_length_b 3.816
_cell_length_c 13.295
_cell_angle_alpha 90.00
_cell_angle_beta 90.00
_cell_angle_gamma 90.00
loop_
_symmetry_equiv_pos_as_xyz
'x,y,z'
'-x,-y,-z'
'-y+1/2,x,z'
'y+1/2,-x,-z'
'-x+1/2,-y+1/2,z'
'x+1/2,y+1/2,-z'
'y,-x+1/2,z'
'-y,x+1/2,-z'
'x+1/2,-y,-z'
'-x+1/2,y,z'
'-y,-x,-z'
'y,x,z'
'-x,y+1/2,-z'
'x,-y+1/2,z'
'y+1/2,x+1/2,-z'
'-y+1/2,-x+1/2,z'
loop_
_atom_site_label
_atom_site_type_symbol
_atom_site_fract_x
_atom_site_fract_y
_atom_site_fract_z
Ce1 Ce 0.250 0.250 0.092
Sc1 Sc 0.250 0.250 0.613
S1 S 0.250 0.250 0.410
S2 S 0.250 0.250 0.791
N1 N 0.250 0.750 0.000
# Fermi-level density of states in states/eV/cell: 4.4
# Crystal system: tetragonal
# Energy relative to the elements, uncorrected in eV per formula unit: -8.68

(15)
# PBE-GGA CeSmSN, relaxed
data_CeSmSN
_symmetry_space_group_name_H-M 'R 3 m'
_symmetry_Int_Tables_number 160
_symmetry_space_group_name_Hall 'R 3 -2"'
_cell_length_a 3.7371
_cell_length_b 3.7371
_cell_length_c 19.2004
_cell_angle_alpha 90.00
_cell_angle_beta 90.00
_cell_angle_gamma 120.00
loop_
_atom_site_label
_atom_site_type_symbol
_atom_site_fract_x
_atom_site_fract_y
_atom_site_fract_z
Ce1 Ce 0.0000 0.0000 0.0000
Sm1 Sm 0.0000 0.0000 0.4748
S1 S 0.0000 0.0000 0.2368
N1 N 0.0000 0.0000 0.7345
# Fermi-level density of states in states/eV/cell: 10.8
# Crystal system: trigonal
# Energy relative to the elements, uncorrected in eV per formula unit: -7.01

(16)
# PBE-GGA CeSmS2N, relaxed
data_CeSmS2N
_symmetry_space_group_name_H-M 'P 4/n m m'
_symmetry_Int_Tables_number 129
_cell_length_a 3.941
_cell_length_b 3.941
_cell_length_c 14.150
_cell_angle_alpha 90.00
_cell_angle_beta 90.00
_cell_angle_gamma 90.00
loop_
_symmetry_equiv_pos_as_xyz
'x,y,z'
'-x,-y,-z'
'-y+1/2,x,z'
'y+1/2,-x,-z'
'-x+1/2,-y+1/2,z'
'x+1/2,y+1/2,-z'
'y,-x+1/2,z'
'-y,x+1/2,-z'
'x+1/2,-y,-z'
'-x+1/2,y,z'
'-y,-x,-z'
'y,x,z'
'-x,y+1/2,-z'
'x,-y+1/2,z'
'y+1/2,x+1/2,-z'
'-y+1/2,-x+1/2,z'
loop_
_atom_site_label
_atom_site_type_symbol
_atom_site_fract_x
_atom_site_fract_y
_atom_site_fract_z
Ce1 Ce 0.250 0.250 0.083
Sm1 Sm 0.250 0.250 0.626
S1 S 0.250 0.250 0.409
S2 S 0.250 0.250 0.808
N1 N 0.250 0.750 0.000
# Fermi-level density of states in states/eV/cell: 4.6
# Crystal system: tetragonal
# Energy relative to the elements, uncorrected in eV per formula unit: -9.01

(17)
# PBE-GGA CeThS2N, relaxed
data_CeThS2N
_symmetry_space_group_name_H-M 'P 4/n m m'
_symmetry_Int_Tables_number 129
_cell_length_a 4.031
_cell_length_b 4.031
_cell_length_c 14.083
_cell_angle_alpha 90.00
_cell_angle_beta 90.00
_cell_angle_gamma 90.00
loop_
_symmetry_equiv_pos_as_xyz
'x,y,z'
'-x,-y,-z'
'-y+1/2,x,z'
'y+1/2,-x,-z'
'-x+1/2,-y+1/2,z'
'x+1/2,y+1/2,-z'
'y,-x+1/2,z'
'-y,x+1/2,-z'
'x+1/2,-y,-z'
'-x+1/2,y,z'
'-y,-x,-z'
'y,x,z'
'-x,y+1/2,-z'
'x,-y+1/2,z'
'y+1/2,x+1/2,-z'
'-y+1/2,-x+1/2,z'
loop_
_atom_site_label
_atom_site_type_symbol
_atom_site_fract_x
_atom_site_fract_y
_atom_site_fract_z
Ce1 Ce 0.250 0.250 0.118
Th1 Th 0.250 0.250 0.584
S1 S 0.250 0.250 0.302
S2 S 0.250 0.250 0.907
N1 N 0.250 0.750 0.500
# Fermi-level density of states in states/eV/cell: 10.8
# Crystal system: tetragonal
# Energy relative to the elements, uncorrected in eV per formula unit: -9.62

(18)
# PBE-GGA CeThSN, relaxed
data_CeThSN
_symmetry_space_group_name_H-M 'P 3 m 1'
_symmetry_Int_Tables_number 156
_symmetry_space_group_name_Hall 'P 3 -2"'
_cell_length_a 3.7171
_cell_length_b 3.7171
_cell_length_c 6.7345
_cell_angle_alpha 90.00
_cell_angle_beta 90.00
_cell_angle_gamma 120.00
loop_
_atom_site_label
_atom_site_type_symbol
_atom_site_fract_x
_atom_site_fract_y
_atom_site_fract_z
Ce1 Ce 0.0000 0.0000 0.0000
Th1 Th 0.6667 0.3333 0.4246
S1 S 0.3333 0.6667 0.7145
N1 N 0.3333 0.6667 0.2164
# Fermi-level density of states in states/eV/cell: 4.3
# Crystal system: trigonal
# Energy relative to the elements, uncorrected in eV per formula unit: -6.53

(19)
# PBE-GGA CeUSN2, relaxed
data_CeUSN2
_symmetry_space_group_name_H-M 'I 4 m m'
_symmetry_Int_Tables_number 107
_symmetry_space_group_name_Hall 'I 4 -2'
_cell_length_a 3.801
_cell_length_b 3.801
_cell_length_c 12.099
_cell_angle_alpha 90.00
_cell_angle_beta 90.00
_cell_angle_gamma 90.00
loop_
_atom_site_label
_atom_site_type_symbol
_atom_site_fract_x
_atom_site_fract_y
_atom_site_fract_z
Ce1 Ce 0.000 0.000 0.000
U1 U 0.000 0.000 0.301
S1 S 0.000 0.000 0.649
N1 N 0.000 0.500 0.389
# Fermi-level density of states in states/eV/cell: 14.0
# Crystal system: tetragonal
# Energy relative to the elements, uncorrected in eV per formula unit: -7.82

(20)
# PBE-GGA CeZrS2N, relaxed
data_CeZrS2N
_symmetry_space_group_name_H-M 'P 4/n m m'
_symmetry_Int_Tables_number 129
_cell_length_a 3.797
_cell_length_b 3.797
_cell_length_c 13.271
_cell_angle_alpha 90.00
_cell_angle_beta 90.00
_cell_angle_gamma 90.00
loop_
_symmetry_equiv_pos_as_xyz
'x,y,z'
'-x,-y,-z'
'-y+1/2,x,z'
'y+1/2,-x,-z'
'-x+1/2,-y+1/2,z'
'x+1/2,y+1/2,-z'
'y,-x+1/2,z'
'-y,x+1/2,-z'
'x+1/2,-y,-z'
'-x+1/2,y,z'
'-y,-x,-z'
'y,x,z'
'-x,y+1/2,-z'
'x,-y+1/2,z'
'y+1/2,x+1/2,-z'
'-y+1/2,-x+1/2,z'
loop_
_atom_site_label
_atom_site_type_symbol
_atom_site_fract_x
_atom_site_fract_y
_atom_site_fract_z
Ce1 Ce 0.250 0.250 0.091
Zr1 Zr 0.250 0.250 0.603
S1 S 0.250 0.250 0.398
S2 S 0.250 0.250 0.788
N1 N 0.250 0.750 0.000
# Fermi-level density of states in states/eV/cell: 2.9
# Crystal system: tetragonal
# Energy relative to the elements, uncorrected in eV per formula unit: -7.76

(21)
# PBE-GGA Ce5Sb5N, relaxed
data_Ce5Sb5N
_symmetry_space_group_name_H-M 'C 1 2/m 1'
_symmetry_Int_Tables_number 12
_symmetry_space_group_name_Hall '-C 2y'
_cell_length_a 13.578
_cell_length_b 6.114
_cell_length_c 8.529
_cell_angle_alpha 90.00
_cell_angle_beta 111.67
_cell_angle_gamma 90.00
loop_
_atom_site_label
_atom_site_type_symbol
_atom_site_fract_x
_atom_site_fract_y
_atom_site_fract_z
Ce1 Ce 0.000 0.000 0.000
Ce2 Ce 0.144 0.500 0.285
Ce3 Ce 0.150 0.500 0.867
Sb1 Sb 0.000 0.500 0.500
Sb2 Sb 0.143 0.000 0.788
Sb3 Sb 0.191 0.000 0.337
N1 N 0.000 0.500 0.000
# Fermi-level density of states in states/eV/cell: 42.7
# Crystal system: monoclinic
# Energy relative to the elements, uncorrected in eV per formula unit: -7.92